[1]
Here is crystalline LaTaNiSb2 at its relaxed geometry from the Alexandria database. Energies are from PBE-GGA.

Geometry as POSCAR:
```
LaTaNiSb2
1.0
5.010 0.000 0.000
0.000 4.878 0.000
0.000 0.000 5.010
Sb La Ni Ta
2 1 1 1
direct
0.000 0.000 0.500
0.500 0.000 0.000
0.000 0.500 0.000
0.000 0.000 0.000
0.500 0.500 0.500
```

Values from the calculation:
Final energy in eV per atom: -5.768
Raw formation energy in eV per atom: 0.393

[2]
Here is crystalline Dy5Mg6 at its relaxed geometry from the Alexandria database. Energies are from PBE-GGA.

Geometry as POSCAR:
```
Dy5Mg6
1.0
5.074 0.006 -1.569
-0.862 6.878 -2.760
0.032 -0.403 9.079
Dy Mg
5 6
direct
0.000 0.500 0.000
0.662 0.662 0.324
0.338 0.338 0.676
0.306 0.805 0.610
0.694 0.195 0.390
0.500 0.788 0.000
0.500 0.212 0.000
0.856 0.065 0.710
0.856 0.644 0.710
0.144 0.935 0.290
0.144 0.356 0.290
```

Values from the calculation:
Final energy in eV per atom: -2.927
ΔE_f in eV/atom: 0.03

[3]
Here is crystalline NdEuErLu at its relaxed geometry from the Alexandria database. Energies are from PBE-GGA.

Geometry as POSCAR:
```
NdEuErLu
1.0
-2.566 4.606 -2.271
-5.681 0.660 0.501
-2.123 4.085 3.429
Eu Lu Nd Er
1 1 1 1
direct
0.750 0.750 0.750
0.000 0.000 0.000
0.250 0.250 0.250
0.500 0.500 0.500
```

Values from the calculation:
Final energy in eV per atom: -5.892
ΔE_f in eV/atom: 0.14

[4]
Here is crystalline BeInSnSb2 at its relaxed geometry from the Alexandria database. Energies are from PBE-GGA.

Geometry as POSCAR:
```
BeInSnSb2
1.0
5.084 0.000 0.000
0.000 4.931 0.000
0.000 0.000 5.084
Sb Be Sn In
2 1 1 1
direct
0.000 0.000 0.500
0.500 0.000 0.000
0.000 0.000 0.000
0.000 0.500 0.000
0.500 0.500 0.500
```

Values from the calculation:
Final energy in eV per atom: -3.381
Raw formation energy in eV per atom: 0.361

[5]
Here is crystalline TbPr12Ho5 at its relaxed geometry from the Alexandria database. Energies are from PBE-GGA.

Geometry as POSCAR:
```
TbPr12Ho5
1.0
-12.013 -8.961 -3.768
-4.104 -3.874 -9.392
3.003 -4.203 0.421
Tb Pr Ho
1 12 5
direct
0.000 0.000 0.000
0.835 0.000 0.500
0.165 0.000 0.500
0.664 0.000 0.000
0.336 0.000 0.000
0.331 0.667 0.000
0.002 0.667 0.000
0.998 0.333 0.000
0.669 0.333 0.000
0.498 0.333 0.500
0.831 0.667 0.500
0.169 0.333 0.500
0.502 0.667 0.500
0.500 0.000 0.500
0.167 0.666 0.500
0.833 0.334 0.500
0.667 0.666 0.000
0.333 0.334 0.000
```

Values from the calculation:
Final energy in eV per atom: -4.692
ΔE_f in eV/atom: 0.02

[6]
Here is crystalline PrTmIrRu at its relaxed geometry from the Alexandria database. Energies are from PBE-GGA.

Geometry as POSCAR:
```
PrTmIrRu
1.0
-4.605 1.276 1.082
-2.975 -3.204 2.211
-1.317 0.698 4.667
Pr Ru Ir Tm
1 1 1 1
direct
0.250 0.250 0.250
0.500 0.500 0.500
0.000 0.000 0.000
0.750 0.750 0.750
```

Values from the calculation:
Final energy in eV per atom: -7.290
ΔE_f in eV/atom: -0.44

[7]
Here is crystalline CuIr2Pt at its relaxed geometry from the Alexandria database. Energies are from PBE-GGA.

Geometry as POSCAR:
```
CuIr2Pt
1.0
4.774 -0.035 0.000
-1.736 4.448 0.000
0.000 0.000 2.718
Cu Ir Pt
1 2 1
direct
0.000 0.500 0.500
0.000 0.000 0.000
0.500 0.500 0.000
0.500 0.000 0.500
```

Values from the calculation:
Final energy in eV per atom: -6.821
ΔE_f in eV/atom: 0.14
Relative energy among the computed polymorphs in eV per atom: 0.139

[8]
Here is crystalline La12NdSm6 at its relaxed geometry from the Alexandria database. Energies are from PBE-GGA.

Geometry as POSCAR:
```
La12NdSm6
1.0
8.633 0.000 2.768
-4.299 8.064 3.511
0.035 0.000 9.789
La Nd Sm
12 1 6
direct
0.525 0.843 0.264
0.683 0.893 0.843
0.789 0.264 0.893
0.475 0.157 0.736
0.317 0.107 0.157
0.211 0.736 0.107
0.265 0.423 0.631
0.104 0.369 0.054
0.158 0.054 0.577
0.735 0.577 0.369
0.896 0.631 0.946
0.842 0.946 0.423
0.000 0.000 0.000
0.421 0.472 0.211
0.051 0.683 0.528
0.368 0.789 0.683
0.579 0.528 0.789
0.949 0.317 0.472
0.632 0.211 0.317
```

Values from the calculation:
Final energy in eV per atom: -4.835
ΔE_f in eV/atom: 0.02

[9]
Here is crystalline TaIrNO2 at its relaxed geometry from the Alexandria database. Energies are from PBE-GGA.

Geometry as POSCAR:
```
TaIrNO2
1.0
3.887 0.000 0.000
0.000 3.887 0.000
0.000 0.000 4.238
N Ir O Ta
1 1 2 1
direct
0.000 0.000 0.500
0.500 0.500 0.500
0.000 0.500 0.000
0.500 0.000 0.000
0.000 0.000 0.000
```

Values from the calculation:
Final energy in eV per atom: -8.102
Raw formation energy in eV per atom: -0.310

[10]
Here is crystalline CsCa2BiCl8 at its relaxed geometry from the Alexandria database. Energies are from PBE-GGA.

Geometry as POSCAR:
```
CsCa2BiCl8
1.0
6.740 0.024 -0.001
0.078 6.561 -0.002
0.011 0.017 8.956
Cs Ca Bi Cl
1 2 1 8
direct
0.000 0.000 0.500
0.500 0.500 0.746
0.500 0.500 0.254
0.000 0.000 0.000
0.169 0.746 0.206
0.670 0.738 0.000
0.830 0.253 0.206
0.831 0.254 0.794
0.330 0.262 0.000
0.170 0.747 0.794
0.600 0.725 0.500
0.400 0.275 0.500
```

Values from the calculation:
Final energy in eV per atom: -3.771
Raw formation energy in eV per atom: -1.812